No. 1
DFT (PBEsol) results for an optimized crystal structure of ZrTiOs3.

Geometry as POSCAR:
```
ZrTiOs3
1.0
4.478 0.000 0.000
0.000 4.478 0.000
0.000 0.000 4.478
Zr Ti Os
1 1 3
direct
0.000 0.000 0.000 Zr
0.500 0.500 0.500 Ti
0.000 0.500 0.500 Os
0.500 0.000 0.500 Os
0.500 0.500 0.000 Os
```

* space group: Pm-3m (221)

No. 2
DFT (PBEsol) results for an optimized crystal structure of TlOs.

Geometry as POSCAR:
```
TlOs
1.0
2.307 -2.308 0.000
2.307 2.308 0.000
0.000 0.000 6.527
Tl Os
2 2
direct
0.000 0.000 0.000 Tl
0.000 0.000 0.500 Tl
0.499 0.501 0.750 Os
0.501 0.499 0.250 Os
```

* space group: Cmcm (63)
* ΔE to the lowest computed polymorph: 657 meV/atom

No. 3
DFT (PBEsol) results for an optimized crystal structure of TlOs.

Geometry as POSCAR:
```
TlOs
1.0
2.014 1.163 6.487
-2.014 1.163 6.487
0.000 -2.325 6.487
Tl Os
2 2
direct
0.109 0.109 0.109 Tl
0.891 0.891 0.891 Tl
0.347 0.347 0.347 Os
0.653 0.653 0.653 Os
```

* space group: R-3m (166)
* ΔE to the lowest computed polymorph: 240 meV/atom

No. 4
DFT (PBEsol) results for an optimized crystal structure of Tl2Os.

Geometry as POSCAR:
```
Tl2Os
1.0
4.809 0.000 0.000
-2.405 4.165 0.000
0.000 0.000 3.063
Tl Os
2 1
direct
0.333 0.667 0.246 Tl
0.667 0.333 0.754 Tl
0.000 0.000 0.500 Os
```

* space group: P-3m1 (164)

No. 5
DFT (PBEsol) results for an optimized crystal structure of TlOs.

Geometry as POSCAR:
```
TlOs
1.0
0.000 3.038 3.038
3.038 0.000 3.038
3.038 3.038 0.000
Tl Os
1 1
direct
0.000 0.000 0.000 Tl
0.250 0.250 0.250 Os
```

* space group: F-43m (216)
* ΔE to the lowest computed polymorph: 1995 meV/atom

No. 6
DFT (PBEsol) results for an optimized crystal structure of Tl3Os2.

Geometry as POSCAR:
```
Tl3Os2
1.0
1.528 0.882 12.046
-1.528 0.882 12.046
0.000 -1.764 12.046
Tl Os
3 2
direct
0.000 0.000 0.000 Tl
0.209 0.209 0.209 Tl
0.791 0.791 0.791 Tl
0.393 0.393 0.393 Os
0.607 0.607 0.607 Os
```

* space group: R-3m (166)

No. 7
DFT (PBEsol) results for an optimized crystal structure of TlOs.

Geometry as POSCAR:
```
TlOs
1.0
2.888 0.000 0.000
0.000 2.958 0.000
-1.448 0.000 8.785
Tl Os
2 2
direct
0.079 0.250 0.163 Tl
0.921 0.750 0.837 Tl
0.295 0.250 0.589 Os
0.705 0.750 0.411 Os
```

* space group: P2_1/m (11)
* ΔE to the lowest computed polymorph: 0 meV/atom

No. 8
DFT (PBEsol) results for an optimized crystal structure of TlOs.

Geometry as POSCAR:
```
TlOs
1.0
3.030 0.000 0.000
-1.515 2.624 0.000
0.000 0.000 8.838
Tl Os
2 2
direct
0.000 0.000 0.000 Tl
0.000 0.000 0.500 Tl
0.333 0.667 0.250 Os
0.667 0.333 0.750 Os
```

* space group: P6_3/mmc (194)
* ΔE to the lowest computed polymorph: 577 meV/atom

| no. | size of the total moment (μB/atom) | formation energy (eV/atom) |
| --- | --- | --- |
| 1 | 0.000 | 1.04 |
| 2 | 0.001 | 1.20 |
| 3 | 0.000 | 0.78 |
| 4 | 0.237 | 1.09 |
| 5 | 0.682 | 2.54 |
| 6 | 0.000 | 0.98 |
| 7 | 0.000 | 0.54 |
| 8 | 0.000 | 1.12 |